NiC5 | PBE-GGA | relaxed

Values from the calculation:
energy above the most stable polymorph in this dataset = 2029 meV per atom
calculated total energy = -37.3 eV/cell
calculated formation energy = 2.44 eV per atom

Unit cell a=3.1859 b=3.1859 c=7.7796 alpha=90.00 beta=90.00 gamma=120.00
Space group P6/mmm (No. 191)
Unique sites:
1 Ni 0.0000 0.0000 0.0000 x1
2 C 0.0000 0.5000 0.5000 x3
3 C 0.3333 0.6667 0.0000 x2